Record 1
BeAgSb2Te | GGA-PBE | relaxed

Summary:
Spin magnetization: 0.00 μB/f.u.
E_form (uncorrected): 524 meV/atom
E above lowest polymorph: 0.000 eV per atom
Calculated volume: 24.68 A^3/atom

a = 4.886 Å, b = 4.886 Å, c = 5.170 Å
α = 90.00°, β = 90.00°, γ = 90.00°
Space group P4/mmm (No. 123)
Inequivalent atoms, fractional coordinates:
Be1 0.000 0.000 0.000 [1 per cell]
Ag1 0.500 0.500 0.500 [1 per cell]
Sb1 0.000 0.500 0.000 [2 per cell]
Te1 0.000 0.000 0.500 [1 per cell]

***

Record 2
BeAgSb2Te | GGA-PBE | relaxed

Summary:
Spin magnetization: 0.00 μB/f.u.
E_form (uncorrected): 1141 meV/atom
E above lowest polymorph: 0.617 eV per atom
Calculated volume: 31.09 A^3/atom

a = 5.338 Å, b = 5.338 Å, c = 5.456 Å
α = 90.00°, β = 90.00°, γ = 90.00°
Space group P4/mmm (No. 123)
Inequivalent atoms, fractional coordinates:
Be1 0.000 0.000 0.000 [1 per cell]
Ag1 0.500 0.500 0.500 [1 per cell]
Sb1 0.000 0.500 0.500 [2 per cell]
Te1 0.500 0.500 0.000 [1 per cell]

***

Record 3
ZrBeAg2Sb | GGA-PBE | relaxed

Summary:
Spin magnetization: 0.00 μB/f.u.
E_form (uncorrected): 1289 meV/atom
Calculated volume: 26.05 A^3/atom

a = 5.224 Å, b = 5.224 Å, c = 4.773 Å
α = 90.00°, β = 90.00°, γ = 90.00°
Space group P4/mmm (No. 123)
Inequivalent atoms, fractional coordinates:
Zr1 0.000 0.000 0.000 [1 per cell]
Be1 0.000 0.000 0.500 [1 per cell]
Ag1 0.000 0.500 0.000 [2 per cell]
Sb1 0.500 0.500 0.500 [1 per cell]

***

Record 4
Sc2BeAg | GGA-PBE | relaxed

Summary:
Spin magnetization: 0.00 μB/f.u.
E above lowest polymorph: 0.247 eV per atom
Calculated volume: 18.19 A^3/atom
DFT formation energy: 94 meV/atom

a = 4.054 Å, b = 4.054 Å, c = 8.853 Å
α = 90.00°, β = 90.00°, γ = 90.00°
Space group I-4m2 (No. 119)
Inequivalent atoms, fractional coordinates:
Sc1 0.000 0.000 0.000 [2 per cell]
Sc2 0.000 0.500 0.250 [2 per cell]
Be1 0.000 0.000 0.500 [2 per cell]
Ag1 0.000 0.500 0.750 [2 per cell]

***

Record 5
Sc2BeAg | GGA-PBE | relaxed

Summary:
Spin magnetization: 0.00 μB/f.u.
E above lowest polymorph: 0.000 eV per atom
Calculated volume: 18.05 A^3/atom
DFT formation energy: -153 meV/atom

a = 3.258 Å, b = 3.258 Å, c = 6.802 Å
α = 90.00°, β = 90.00°, γ = 90.00°
Space group P4/mmm (No. 123)
Inequivalent atoms, fractional coordinates:
Sc1 0.000 0.000 0.223 [2 per cell]
Be1 0.500 0.500 0.000 [1 per cell]
Ag1 0.500 0.500 0.500 [1 per cell]

***

Record 6
ScBeAg2 | GGA-PBE | relaxed

Summary:
Spin magnetization: 0.00 μB/f.u.
E above lowest polymorph: 0.222 eV per atom
Calculated volume: 16.97 A^3/atom
DFT formation energy: 207 meV/atom

a = 2.9955 Å, b = 2.9955 Å, c = 26.2071 Å
α = 90.00°, β = 90.00°, γ = 120.00°
Space group R-3m (No. 166, hexagonal axes)
Inequivalent atoms, fractional coordinates:
Sc1 0.0000 0.0000 0.0000 [3 per cell]
Be1 0.0000 0.0000 0.5000 [3 per cell]
Ag1 0.0000 0.0000 0.2366 [6 per cell]

***

Question: Which value of calculated volume does entry 3 give?
Answer: 26.05 A^3/atom

***

Question: What is the formula in the third record?
Answer: ZrBeAg2Sb

***

Question: What is the formula in the second record?
Answer: BeAgSb2Te